{"formula": "Na6PtF12", "functional": "GGA-PBE", "state": "relaxed", "cell": [[-5.4214, 3.5788, 1.1918], [-2.1516, -5.8174, 2.2690], [3.5588, 1.8403, 5.2505]], "species": ["Na", "Na", "Na", "Na", "Na", "Na", "Pt", "F", "F", "F", "F", "F", "F", "F", "F", "F", "F", "F", "F"], "fractional_positions": [[0.6847, 0.8470, 0.3940], [0.6060, 0.3153, 0.1530], [0.1530, 0.6060, 0.3153], [0.3153, 0.1530, 0.6060], [0.3940, 0.6847, 0.8470], [0.8470, 0.3940, 0.6847], [0.0000, 0.0000, 0.0000], [0.8326, 0.5600, 0.4042], [0.4042, 0.8326, 0.5600], [0.5600, 0.4042, 0.8326], [0.1674, 0.4400, 0.5958], [0.5958, 0.1674, 0.4400], [0.4400, 0.5958, 0.1674], [0.0574, 0.9792, 0.2947], [0.0208, 0.7053, 0.9426], [0.7053, 0.9426, 0.0208], [0.9426, 0.0208, 0.7053], [0.9792, 0.2947, 0.0574], [0.2947, 0.0574, 0.9792]], "raw_formation_energy_ev_per_atom": -2.125, "m_tot_mub_per_cell": 1.40, "e_tot_ev_per_atom": -4.041}

{"formula": "Pm2DyHoN4", "functional": "GGA-PBE", "state": "relaxed", "cell": [[-0.5540, -3.4777, -0.3465], [5.9145, -1.0608, 1.1908], [-3.1707, -0.0177, 5.2476]], "species": ["Pm", "Pm", "Dy", "Ho", "N", "N", "N", "N"], "fractional_positions": [[0.5000, 0.0000, 0.5000], [0.0000, 0.5000, 0.5000], [0.5000, 0.5000, 0.0000], [0.0000, 0.0000, 0.0000], [0.5000, 0.2463, 0.2406], [0.5000, 0.7537, 0.7594], [0.0000, 0.2524, 0.7591], [0.0000, 0.7476, 0.2409]], "raw_formation_energy_ev_per_atom": -1.566, "m_tot_mub_per_cell": 0.00, "e_tot_ev_per_atom": -8.064}

{"formula": "CePr6Dy2Ho", "functional": "GGA-PBE", "state": "relaxed", "cell": [[-2.4573, -8.1029, 2.7581], [6.5478, -1.0933, 2.6218], [-4.4948, 3.8540, 3.1176]], "species": ["Ce", "Pr", "Pr", "Pr", "Pr", "Pr", "Pr", "Dy", "Dy", "Ho"], "fractional_positions": [[0.0000, 0.5000, 0.0000], [0.4182, 0.6271, 0.2541], [0.2039, 0.0611, 0.6562], [0.7961, 0.4048, 0.3438], [0.2039, 0.5952, 0.6562], [0.7961, 0.9389, 0.3438], [0.5818, 0.3729, 0.7459], [0.1630, 0.0918, 0.1836], [0.8370, 0.9082, 0.8164], [0.5000, 0.0000, 0.0000]], "m_tot_mub_per_cell": 1.12, "delta_e_f_kcal_per_mol_atoms": 5.34, "e_tot_ev_per_atom": -4.608}

{"formula": "YHoGe", "functional": "GGA-PBE", "state": "relaxed", "cell": [[-4.2204, 0.6838, -0.2148], [-5.2381, -5.4579, 0.2138], [-2.8446, -2.2820, 5.9581]], "species": ["Y", "Y", "Ho", "Ho", "Ge", "Ge"], "fractional_positions": [[0.6800, 0.3404, 0.5557], [0.6796, 0.9484, 0.3404], [0.4451, 0.8785, 0.9481], [0.9146, 0.4102, 0.9480], [0.1797, 0.7841, 0.6686], [0.1797, 0.5048, 0.2274]], "de_polymorph_ev_per_atom": 0.082, "m_tot_mub_per_cell": 0.00, "delta_e_f_kcal_per_mol_atoms": -13.53, "e_tot_ev_per_atom": -5.806}

{"formula": "V2GeTe2", "functional": "GGA-PBE", "state": "relaxed", "cell": [[7.4521, 0.0000, 0.0000], [0.0000, 7.4521, 0.0000], [0.0000, 0.0000, 3.4815]], "species": ["Ge", "Ge", "Te", "Te", "Te", "Te", "V", "V", "V", "V"], "fractional_positions": [[0.0000, 0.0000, 0.0000], [0.5000, 0.5000, 0.0000], [0.1518, 0.6518, 0.5000], [0.6518, 0.8482, 0.5000], [0.8482, 0.3482, 0.5000], [0.3482, 0.1518, 0.5000], [0.3574, 0.8574, 0.0000], [0.8574, 0.6426, 0.0000], [0.6426, 0.1426, 0.0000], [0.1426, 0.3574, 0.0000]], "raw_formation_energy_ev_per_atom": 0.148, "de_polymorph_ev_per_atom": 0.002, "m_tot_mub_per_cell": 4.39, "e_tot_ev_per_atom": -5.680}

{"formula": "Pd2Ru2I", "functional": "GGA-PBE", "state": "relaxed", "cell": [[-1.7168, -3.0417, 1.3814], [2.8734, -0.5522, 2.3550], [-2.3037, 1.8109, 6.2307]], "species": ["I", "Ru", "Ru", "Pd", "Pd"], "fractional_positions": [[0.0000, 0.0000, 0.0000], [0.4031, 0.4031, 0.1938], [0.5969, 0.5969, 0.8062], [0.7500, 0.2500, 0.5000], [0.2500, 0.7500, 0.5000]], "raw_formation_energy_ev_per_atom": 0.729, "de_polymorph_ev_per_atom": 0.096, "m_tot_mub_per_cell": 0.13, "e_tot_ev_per_atom": -5.369}

- What is the formula in the third record?
  CePr6Dy2Ho